Ta2MnPt: relaxed, PBEsol.

Properties
E: -10.59 eV/atom
Total moment: 1.8 μB/f.u.

Unit cell a=4.4278 b=4.4278 c=4.4278 alpha=60.00 beta=60.00 gamma=60.00
Positions (direct):
Ta1 0.0000 0.0000 0.0000
Ta2 0.2500 0.2500 0.2500
Mn1 0.7500 0.7500 0.7500
Pt1 0.5000 0.5000 0.5000